one) VASP calculation (GGA-PBEsol) on SrTl2Te after structural relaxation.

Results
D(E_F) = 0.360 states/eV/atom
total moment = 0.0 Bohr magnetons per cell
space group = No. 44

a = 6.107 Å, b = 6.107 Å, c = 6.107 Å
α = 133.13°, β = 132.87°, γ = 68.65°
Sites, in units of the cell vectors:
Sr: 0.000 0.000 0.000
Tl: 0.499 0.499 0.000
Tl: 0.750 0.250 0.500
Te: 0.250 0.750 0.500

=====

two) VASP calculation (GGA-PBEsol) on SrTl2Te after structural relaxation.

Results
D(E_F) = 0.331 states/eV/atom
total moment = 0.0 Bohr magnetons per cell
space group = No. 10

a = 5.017 Å, b = 4.254 Å, c = 6.011 Å
α = 90.00°, β = 103.34°, γ = 90.00°
Sites, in units of the cell vectors:
Sr: 0.000 0.000 0.000
Tl: 0.000 0.500 0.500
Tl: 0.500 0.000 0.500
Te: 0.500 0.500 0.000

=====

Energies relative to the most stable structure, in meV/atom: one) 29; two) 0.

=====

one) VASP calculation (GGA-PBEsol) on Ir2OsRu after structural relaxation.

Results
D(E_F) = 0.761 states/eV/atom
total moment = 0.0 Bohr magnetons per cell
space group = No. 166

a = 8.951 Å, b = 8.951 Å, c = 8.951 Å
α = 17.30°, β = 17.30°, γ = 17.30°
Sites, in units of the cell vectors:
Ir: 0.250 0.250 0.250
Ir: 0.750 0.750 0.750
Os: 0.500 0.500 0.500
Ru: 0.000 0.000 0.000

=====

two) VASP calculation (GGA-PBEsol) on Ir2OsRu after structural relaxation.

Results
D(E_F) = 0.896 states/eV/atom
total moment = 0.0 Bohr magnetons per cell
space group = No. 8

a = 4.669 Å, b = 4.669 Å, c = 4.670 Å
α = 99.52°, β = 99.52°, γ = 33.49°
Sites, in units of the cell vectors:
Ir: 0.000 0.000 0.000
Ir: 0.247 0.247 0.742
Os: 0.749 0.749 0.247
Ru: 0.497 0.497 0.494

=====

Energies relative to the most stable structure, in meV/atom: one) 12; two) 0.